Record 1
Ti2AgBAu | PBE | relaxed

The structure in POSCAR format:
```
Ti2AgBAu
1.0
-4.207 -2.315 0.478
1.565 -3.485 -3.102
1.798 -2.500 3.716
B Au Ag Ti
1 1 1 2
Direct
0.500 0.500 0.500 B
0.000 0.500 0.000 Au
0.000 0.000 0.000 Ag
0.000 0.000 0.500 Ti
0.500 0.000 0.000 Ti
```

Results
As for the spin magnetization: 0.001 Bohr magnetons per cell. The formation energy is 1.810 eV/atom.


Record 2
AcCe2Ni2Sb2 | PBE | relaxed

The structure in POSCAR format:
```
AcCe2Ni2Sb2
1.0
4.446 0.000 0.000
2.223 3.850 0.000
2.223 1.283 9.763
Ac Ce Ni Sb
1 2 2 2
Direct
0.000 0.000 0.000 Ac
0.142 0.142 0.573 Ce
0.858 0.858 0.427 Ce
0.565 0.565 0.306 Ni
0.435 0.435 0.694 Ni
0.741 0.741 0.777 Sb
0.259 0.259 0.223 Sb
```

Results
The calculation puts the formation energy without anion corrections at -4.54 eV/f.u. As for the spin magnetization: 1.264 Bohr magnetons per cell.


Record 3
Ti4GaFe | PBE | relaxed

The structure in POSCAR format:
```
Ti4GaFe
1.0
-3.708 3.632 -1.073
-4.374 -4.993 -1.789
-5.379 3.358 3.778
Ti Ga Fe
8 2 2
Direct
0.946 0.750 0.304 Ti
0.554 0.250 0.696 Ti
0.766 0.374 0.234 Ti
0.734 0.874 0.766 Ti
0.054 0.250 0.696 Ti
0.446 0.750 0.304 Ti
0.234 0.626 0.766 Ti
0.266 0.126 0.234 Ti
0.000 0.000 0.000 Ga
0.500 0.500 0.000 Ga
0.500 0.000 0.500 Fe
0.000 0.500 0.500 Fe
```

Results
As for the spin magnetization: 0.001 Bohr magnetons per cell. The formation energy is -0.225 eV/atom.


Record 4
VTeMoN2 | PBE | relaxed

The structure in POSCAR format:
```
VTeMoN2
1.0
-2.754 2.382 -1.316
-2.719 -2.485 1.191
-0.160 2.534 4.922
N Mo Te V
2 1 1 1
Direct
0.000 0.500 0.000 N
0.500 0.000 0.000 N
0.500 0.500 0.500 Mo
0.000 0.000 0.500 Te
0.000 0.000 0.000 V
```

Results
The calculation puts the formation energy without anion corrections at 4.22 eV/f.u. As for the spin magnetization: 3.122 Bohr magnetons per cell. For the energy above the most stable polymorph in this dataset, the calculation gives 27 meV/atom.